Computed, not measured: DySc3In after structural relaxation at the GGA-PBE level of DFT.

Cell lengths 5.1693, 6.2104, 9.4759 Å; angles 68.28, 74.17, 65.41 degrees
Positions (direct):
Sc  0.1410  0.3143  0.4036
Dy  0.5569  0.2412  0.6450
Dy  0.4431  0.7588  0.3550
In  0.9418  0.2410  0.8754
Sc  0.7778  0.1778  0.2666
Sc  0.6587  0.7194  0.9632
In  0.0582  0.7590  0.1246
Sc  0.3413  0.2806  0.0368
Sc  0.8590  0.6857  0.5964
Sc  0.2222  0.8222  0.7334

## Properties
DOS at the Fermi energy = 12.04 states/eV per cell
Offset from the most stable computed form = 0.00 eV per formula unit
SG = C2/m, No. 12
Calculated volume = 25.44 Å³/atom
Mass density = 5.4 g/cm3
Formation enthalpy at 0 K = -0.75 eV per formula unit
Total DFT energy (no corrections) = -5.418 eV per atom